(1)
Computed, not measured: K2LiNdBr6 after structural relaxation at the PBEsol level of DFT.

```
K2LiNdBr6
1.0
0.0000 5.4779 5.4779
5.4779 0.0000 5.4779
5.4779 5.4779 0.0000
K Li Nd Br
2 1 1 6
Cartesian
2.7389 2.7389 2.7389
8.2168 8.2168 8.2168
0.0000 0.0000 0.0000
5.4779 5.4779 5.4779
5.4779 5.4779 2.6477
5.4779 2.6477 5.4779
8.3080 5.4779 5.4779
2.6477 5.4779 5.4779
5.4779 8.3080 5.4779
5.4779 5.4779 8.3080
```

Calculated values
Crystal system: cubic
DOS(E_F) (states/eV per atom): 0.00
Formation energy from raw total energies (eV per atom): -1.71

---

(2)
Computed, not measured: Li2YBr after structural relaxation at the PBEsol level of DFT.

```
Li2YBr
1.0
2.9051 -5.8752 0.0000
2.9051 5.8752 0.0000
-1.9525 0.0000 2.7899
Li Y Br
2 1 1
Cartesian
1.4525 2.9376 0.0000
1.4525 -2.9376 0.0000
-0.9762 0.0000 1.3950
1.9288 0.0000 1.3950
```

Calculated values
Crystal system: monoclinic
Excess energy over the best structure of this formula in the dataset (eV per formula unit): 0.00
DOS(E_F) (states/eV per atom): 0.69
Formation energy from raw total energies (eV per atom): -0.37

---

(3)
Computed, not measured: PmGaCu2 after structural relaxation at the PBEsol level of DFT.

```
PmGaCu2
1.0
0.0000 3.2228 3.2228
3.2228 0.0000 3.2228
3.2228 3.2228 0.0000
Pm Ga Cu
1 1 2
Cartesian
0.0000 0.0000 0.0000
3.2228 3.2228 3.2228
1.6114 1.6114 1.6114
4.8341 4.8341 4.8341
```

Calculated values
Crystal system: cubic
DOS(E_F) (states/eV per atom): 0.39
Energy relative to the elements (eV per atom): -0.30

---

(4)
Computed, not measured: TeRhWBr2 after structural relaxation at the PBEsol level of DFT.

```
TeRhWBr2
1.0
4.8436 0.0000 0.0000
0.0000 4.8436 0.0000
0.0000 0.0000 5.0457
Te Rh W Br
1 1 1 2
Cartesian
0.0000 0.0000 0.0000
2.4218 2.4218 2.5229
2.4218 2.4218 0.0000
0.0000 2.4218 2.5229
2.4218 0.0000 2.5229
```

Calculated values
Crystal system: tetragonal
DOS(E_F) (states/eV per atom): 1.06
Formation energy from raw total energies (eV per atom): 1.06

---

(5)
Computed, not measured: SiNiBr3 after structural relaxation at the PBEsol level of DFT.

```
SiNiBr3
1.0
5.0496 0.0000 0.0000
0.0000 5.0496 0.0000
0.0000 0.0000 5.0496
Si Ni Br
1 1 3
Cartesian
0.0000 0.0000 0.0000
2.5248 2.5248 2.5248
0.0000 0.0000 2.5248
0.0000 2.5248 0.0000
2.5248 0.0000 0.0000
```

Calculated values
Crystal system: cubic
DOS(E_F) (states/eV per atom): 2.59
Formation energy from raw total energies (eV per atom): 0.49

---

(6)
Computed, not measured: PBr after structural relaxation at the PBEsol level of DFT.

```
PBr
1.0
1.6101 -7.1569 0.0000
1.6101 7.1569 0.0000
0.0000 0.0000 4.6761
P Br
2 2
Cartesian
1.6101 7.0915 3.5071
1.6101 -7.0915 1.1690
1.6101 4.8886 3.5071
1.6101 -4.8886 1.1690
```

Calculated values
Crystal system: orthorhombic
Excess energy over the best structure of this formula in the dataset (eV per formula unit): 0.00
DOS(E_F) (states/eV per atom): 0.25
Formation energy from raw total energies (eV per atom): 0.10

---

(7)
Computed, not measured: K2ReBr after structural relaxation at the PBEsol level of DFT.

```
K2ReBr
1.0
2.8414 -1.5100 0.0000
2.8414 1.5100 0.0000
-1.4165 0.0000 10.6958
K Re Br
2 1 1
Cartesian
1.0521 0.0000 2.4880
3.2144 0.0000 8.2079
-0.7082 0.0000 5.3479
2.8414 0.0000 0.0000
```

Calculated values
Crystal system: monoclinic
Excess energy over the best structure of this formula in the dataset (eV per formula unit): 0.00
DOS(E_F) (states/eV per atom): 0.56
Formation energy from raw total energies (eV per atom): 0.68

---

(8)
Computed, not measured: HfZn2GaNi after structural relaxation at the PBEsol level of DFT.

```
HfZn2GaNi
1.0
4.3679 0.0000 0.0000
0.0000 4.3679 0.0000
0.0000 0.0000 5.0253
Hf Zn Ga Ni
1 2 1 1
Cartesian
0.0000 0.0000 0.0000
0.0000 2.1839 2.5127
2.1839 0.0000 2.5127
0.0000 0.0000 2.5127
2.1839 2.1839 0.0000
```

Calculated values
Crystal system: tetragonal
DOS(E_F) (states/eV per atom): 0.54
Energy relative to the elements (eV per atom): 0.79